(1)
{
  "formula": "CoTc",
  "functional": "PBE",
  "state": "relaxed",
  "lattice_angstrom": [[-1.849, 1.849, 3.689], [1.849, -1.849, 3.689], [1.849, 1.849, -3.689]],
  "species": ["Co", "Co", "Tc", "Tc"],
  "fractional_positions": [[0.375, 0.625, 0.750], [0.625, 0.375, 0.250], [0.125, 0.875, 0.250], [0.875, 0.125, 0.750]],
  "relative_energy_mev_per_atom": 121,
  "space_group": "No. 141",
  "final_energy_ev_per_atom": -8.662,
  "delta_e_f_ev_per_fu": 0.1
}


(2)
{
  "formula": "CrCu2Rh",
  "functional": "PBE",
  "state": "relaxed",
  "lattice_angstrom": [[1.301, 0.751, 8.642], [-1.301, 0.751, 8.642], [0.000, -1.502, 8.642]],
  "species": ["Cr", "Cu", "Cu", "Rh"],
  "fractional_positions": [[0.000, 0.000, 0.000], [0.252, 0.252, 0.252], [0.748, 0.748, 0.748], [0.500, 0.500, 0.500]],
  "space_group": "No. 166",
  "final_energy_ev_per_atom": -6.050,
  "delta_e_f_ev_per_fu": 1.0
}


(3)
{
  "formula": "LiSi",
  "functional": "PBE",
  "state": "relaxed",
  "lattice_angstrom": [[2.691, 0.000, 0.000], [0.000, 2.691, 0.000], [0.000, 0.000, 8.361]],
  "species": ["Li", "Li", "Si", "Si"],
  "fractional_positions": [[0.250, 0.250, 0.150], [0.750, 0.750, 0.850], [0.250, 0.250, 0.617], [0.750, 0.750, 0.383]],
  "space_group": "No. 129",
  "final_energy_ev_per_atom": -3.565
}


(4)
{
  "formula": "La4CoRuCl2",
  "functional": "PBE",
  "state": "relaxed",
  "lattice_angstrom": [[7.041, 0.000, 0.000], [0.000, 4.082, 0.000], [-2.375, 0.000, 7.677]],
  "species": ["La", "La", "La", "La", "Co", "Ru", "Cl", "Cl"],
  "fractional_positions": [[0.231, 0.000, 0.201], [0.264, 0.500, 0.796], [0.736, 0.500, 0.204], [0.769, 0.000, 0.799], [0.000, 0.500, 0.000], [0.500, 0.000, 0.000], [0.000, 0.000, 0.500], [0.500, 0.500, 0.500]],
  "space_group": "No. 10",
  "final_energy_ev_per_atom": -5.955
}


(5)
{
  "formula": "CsK2Mg",
  "functional": "PBE",
  "state": "relaxed",
  "lattice_angstrom": [[4.701, 0.000, 0.000], [0.000, 4.701, 0.000], [0.000, 0.000, 11.886]],
  "species": ["Cs", "K", "K", "Mg"],
  "fractional_positions": [[0.000, 0.000, 0.000], [0.500, 0.500, 0.322], [0.500, 0.500, 0.678], [0.000, 0.000, 0.500]],
  "space_group": "No. 123",
  "final_energy_ev_per_atom": -1.007,
  "delta_e_f_ev_per_fu": 0.6
}